Entry 1:
Here is crystalline Sr2CaGe3Au4 at its relaxed geometry from the Alexandria database. Energies are from PBE-GGA.

Lattice parameters (Å, degrees): 4.5473 4.5473 11.5324 90.00 90.00 90.00
Positions (direct):
Sr 0.5000 0.0000 0.2239
Sr 0.0000 0.5000 0.7761
Au 0.0000 0.5000 0.3444
Au 0.5000 0.0000 0.6556
Au 0.0000 0.0000 0.0000
Au 0.5000 0.5000 0.0000
Ge 0.5000 0.0000 0.8772
Ge 0.0000 0.5000 0.1228
Ge 0.0000 0.0000 0.5000
Ca 0.5000 0.5000 0.5000

Summary:
**E_form**: -563 meV per atom
**Space-group type**: P-4m2

=====

Entry 2:
Here is crystalline Al2GeCl at its relaxed geometry from the Alexandria database. Energies are from PBE-GGA.

Lattice parameters (Å, degrees): 5.7951 5.7951 7.4477 67.10 67.10 90.00
Positions (direct):
Cl 0.2500 0.7500 0.5000
Cl 0.5000 0.5000 0.0000
Al 0.6570 0.1250 0.2500
Al 0.0930 0.6250 0.2500
Al 0.8750 0.9070 0.7500
Al 0.3750 0.3430 0.7500
Ge 0.0000 0.0000 0.0000
Ge 0.7500 0.2500 0.5000

Summary:
**Excess energy over the best structure of this formula in the dataset**: 0.000 eV per atom
**Formation energy (no corrections)**: 49 meV per atom
**Space-group type**: I-42d

=====

Entry 3:
Here is crystalline Li2ZrTe at its relaxed geometry from the Alexandria database. Energies are from PBE-GGA.

Lattice parameters (Å, degrees): 10.2571 10.2571 10.2571 17.88 17.88 17.88
Last column: magnetic moment on the atom in μB.
Positions (direct):
Te 0.2500 0.2500 0.2500  0.00
Li 0.5063 0.5063 0.5063  0.01
Li 0.9937 0.9937 0.9937  0.01
Zr 0.7500 0.7500 0.7500  0.33

Summary:
**Formation energy (no corrections)**: -23 meV per atom
**Space-group type**: R-3m

=====

Entry 4:
Here is crystalline FeTe2PbN at its relaxed geometry from the Alexandria database. Energies are from PBE-GGA.

Lattice parameters (Å, degrees): 5.4649 5.4649 3.4421 90.00 90.00 90.00
Positions (direct):
Te 0.5000 0.0000 0.0000
Te 0.0000 0.5000 0.0000
Pb 0.5000 0.5000 0.5000
N 0.0000 0.0000 0.5000
Fe 0.0000 0.0000 0.0000

Summary:
**Formation energy (no corrections)**: 183 meV per atom
**Space-group type**: P4/mmm

=====

Entry 5:
Here is crystalline Sr6SnPb5 at its relaxed geometry from the Alexandria database. Energies are from PBE-GGA.

Lattice parameters (Å, degrees): 6.1250 7.4762 9.6939 67.18 85.30 89.89
Positions (direct):
Sr 0.8378 0.5863 0.3300
Sr 0.1623 0.9160 0.6699
Sr 0.4999 0.2477 0.0000
Sr 0.5001 0.7523 0.0000
Sr 0.8377 0.0840 0.3301
Sr 0.1622 0.4137 0.6700
Pb 0.3351 0.8322 0.3354
Pb 0.3370 0.3325 0.3357
Pb 0.0000 0.5000 0.0000
Pb 0.6649 0.1678 0.6646
Pb 0.6630 0.6675 0.6643
Sn 0.0000 0.0000 0.0000

Summary:
**E_form**: -529 meV per atom
**Space-group type**: P-1

=====

Entry 6:
Here is crystalline Ca2Ti2Zn at its relaxed geometry from the Alexandria database. Energies are from PBE-GGA.

Lattice parameters (Å, degrees): 3.6489 3.6489 9.8629 79.34 79.34 90.00
Positions (direct):
Ca 0.5966 0.5966 0.8069
Ca 0.4034 0.4034 0.1931
Ti 0.2500 0.7500 0.5000
Ti 0.7500 0.2500 0.5000
Zn 0.0000 0.0000 0.0000

Summary:
**Excess energy over the best structure of this formula in the dataset**: 0.000 eV per atom
**E_form**: 285 meV per atom
**Space-group type**: I4/mmm

=====

Entry 7:
Here is crystalline Zr2CoHg at its relaxed geometry from the Alexandria database. Energies are from PBE-GGA.

Lattice parameters (Å, degrees): 5.7992 5.7992 4.6852 66.22 66.22 32.65
Positions (direct):
Zr 0.2065 0.2065 0.2942
Zr 0.9967 0.9967 0.0041
Hg 0.7885 0.7885 0.7124
Co 0.5083 0.5083 0.4894

Summary:
**E_form**: -63 meV per atom
**Space-group type**: Cm

=====

Entry 8:
Here is crystalline SmSnRu2 at its relaxed geometry from the Alexandria database. Energies are from PBE-GGA.

Lattice parameters (Å, degrees): 3.4271 4.6548 4.6548 90.00 90.00 90.00
Positions (direct):
Sm 0.5000 0.5000 0.5000
Ru 0.0000 0.5000 0.0000
Ru 0.0000 0.0000 0.5000
Sn 0.5000 0.0000 0.0000

Summary:
**E_form**: -253 meV per atom
**Space-group type**: P4/mmm

=====

Entry 9:
Here is crystalline SrEuHfNbO6 at its relaxed geometry from the Alexandria database. Energies are from PBE-GGA.

Lattice parameters (Å, degrees): 5.8149 5.8149 5.8149 60.00 60.00 60.00
Last column: magnetic moment on the atom in μB.
Positions (direct):
O 0.2515 0.7485 0.7485  0.01
O 0.7485 0.7485 0.2515  0.01
O 0.7485 0.2515 0.2515  0.01
O 0.7485 0.2515 0.7485  0.01
O 0.2515 0.2515 0.7485  0.01
O 0.2515 0.7485 0.2515  0.01
Eu 0.2500 0.2500 0.2500  -6.84
Hf 0.0000 0.0000 0.0000  0.02
Nb 0.5000 0.5000 0.5000  0.14
Sr 0.7500 0.7500 0.7500  0.00

Summary:
**Formation energy (no corrections)**: -3003 meV per atom
**Space-group type**: F-43m

=====

Entry 10:
Here is crystalline Tb5ZnIn4 at its relaxed geometry from the Alexandria database. Energies are from PBE-GGA.

Lattice parameters (Å, degrees): 3.6240 3.6240 19.8804 90.00 90.00 90.00
Positions (direct):
In 0.0000 0.0000 0.3962
In 0.0000 0.0000 0.8108
In 0.0000 0.0000 0.1892
In 0.0000 0.0000 0.6038
Tb 0.5000 0.5000 0.0870
Tb 0.5000 0.5000 0.5000
Tb 0.5000 0.5000 0.7070
Tb 0.5000 0.5000 0.2930
Tb 0.5000 0.5000 0.9130
Zn 0.0000 0.0000 0.0000

Summary:
**E_form**: -458 meV per atom
**Space-group type**: P4/mmm

=====

Entry 11:
Here is crystalline CaAc3Pd at its relaxed geometry from the Alexandria database. Energies are from PBE-GGA.

Lattice parameters (Å, degrees): 7.2426 10.6979 10.7768 100.92 90.00 90.00
Positions (direct):
Ac 0.4043 0.2100 0.5750
Ac 0.9320 0.0729 0.6928
Ac 0.9107 0.3251 0.4463
Ac 0.0893 0.6749 0.5537
Ac 0.9043 0.7900 0.9250
Ac 0.4107 0.6749 0.0537
Ac 0.5680 0.0729 0.1928
Ac 0.0680 0.9271 0.3072
Ac 0.5893 0.3251 0.9463
Ac 0.0957 0.2100 0.0750
Ac 0.5957 0.7900 0.4250
Ac 0.4320 0.9271 0.8072
Ca 0.9169 0.5591 0.1871
Ca 0.5831 0.5591 0.6871
Ca 0.0831 0.4409 0.8129
Ca 0.4169 0.4409 0.3129
Pd 0.7343 0.0668 0.4479
Pd 0.2657 0.9332 0.5521
Pd 0.7657 0.0668 0.9479
Pd 0.2343 0.9332 0.0521

Summary:
**Excess energy over the best structure of this formula in the dataset**: 0.000 eV per atom
**E_form**: -241 meV per atom
**Space-group type**: P2_1/c

=====

Entry 12:
Here is crystalline V2Zn2Fe3 at its relaxed geometry from the Alexandria database. Energies are from PBE-GGA.

Lattice parameters (Å, degrees): 2.8425 2.8672 10.9907 90.00 82.57 90.00
Last column: magnetic moment on the atom in μB.
Positions (direct):
Zn 0.6994 0.5000 0.6012  0.00
Zn 0.3006 0.5000 0.3988  0.00
V 0.5681 0.5000 0.8638  -0.04
V 0.4319 0.5000 0.1362  -0.04
Fe 0.1249 0.0000 0.7501  -0.13
Fe 0.0000 0.0000 0.0000  0.35
Fe 0.8751 0.0000 0.2499  -0.13

Summary:
**E_form**: -69 meV per atom
**Space-group type**: Cmmm

=====

Number 1: density 8.50 Mg/m³, V 238 Å³ per cell. Number 2: density 2.58 Mg/m³, V 209 Å³ per cell. Number 3: density 4.35 Mg/m³, V 89 Å³ per cell. Number 4: density 8.60 Mg/m³, V 103 Å³ per cell. Number 5: density 6.85 Mg/m³, V 408 Å³ per cell. Number 6: density 3.16 Mg/m³, V 127 Å³ per cell. Number 7: density 9.51 Mg/m³, V 77 Å³ per cell. Number 8: density 10.54 Mg/m³, V 74 Å³ per cell. Number 9: density 7.25 Mg/m³, V 139 Å³ per cell. Number 10: density 8.39 Mg/m³, V 261 Å³ per cell. Number 11: density 6.70 Mg/m³, V 820 Å³ per cell. Number 12: density 7.48 Mg/m³, V 89 Å³ per cell.